Record 1
Here is a geometry-optimized TmScBiTe structure from Alexandria via LeMat-Bulk. Energies are from PBE.

a = 4.316 Å, b = 4.316 Å, c = 6.066 Å
α = 90.00°, β = 90.00°, γ = 90.00°
Fractional positions:
Tm  0.000  0.000  0.000
Sc  0.500  0.500  0.498
Bi  0.500  0.500  0.998
Te  0.000  0.000  0.500

Space-group type ... P4mm, No. 99
Energy relative to the elements, uncorrected ... -0.93 eV per atom
Energy ... -5.39 eV per atom
Density ... 8091 kg/m3

---

Record 2
Here is a geometry-optimized ThSc5Bi6 structure from Alexandria via LeMat-Bulk. Energies are from PBE.

a = 7.495 Å, b = 7.495 Å, c = 7.510 Å
α = 99.68°, β = 99.68°, γ = 119.95°
Fractional positions:
Th  0.000  0.000  0.000
Sc  0.159  0.841  0.500
Sc  0.331  0.669  0.000
Sc  0.500  0.500  0.500
Sc  0.669  0.331  0.000
Sc  0.841  0.159  0.500
Bi  0.088  0.435  0.261
Bi  0.265  0.265  0.747
Bi  0.435  0.088  0.261
Bi  0.565  0.912  0.739
Bi  0.735  0.735  0.253
Bi  0.912  0.565  0.739

Space-group type ... C2/m, No. 12
DFT formation energy ... -0.6432 eV/atom
Energy ... -5.84 eV per atom
Density ... 8251 kg/m3

---

Repeat the first record exactly.
Here is a geometry-optimized TmScBiTe structure from Alexandria via LeMat-Bulk. Energies are from PBE.

a = 4.316 Å, b = 4.316 Å, c = 6.066 Å
α = 90.00°, β = 90.00°, γ = 90.00°
Fractional positions:
Tm  0.000  0.000  0.000
Sc  0.500  0.500  0.498
Bi  0.500  0.500  0.998
Te  0.000  0.000  0.500

Space-group type ... P4mm, No. 99
Energy relative to the elements, uncorrected ... -0.93 eV per atom
Energy ... -5.39 eV per atom
Density ... 8091 kg/m3